No. 1
# Ce4GeSbC | the Alexandria database | PBE | optimized geometry
data_Ce4GeSbC
_symmetry_space_group_name_H-M 'C m c m'
_symmetry_Int_Tables_number 63
_symmetry_space_group_name_Hall '-C 2c 2'
_cell_length_a 6.8110
_cell_length_b 15.8756
_cell_length_c 6.8339
_cell_angle_alpha 90.00
_cell_angle_beta 90.00
_cell_angle_gamma 90.00
loop_
_atom_site_label
_atom_site_type_symbol
_atom_site_fract_x
_atom_site_fract_y
_atom_site_fract_z
Ce1 Ce 0.0000 0.0804 0.2500
Ce2 Ce 0.0000 0.4065 0.2500
Ce3 Ce 0.2500 0.2500 0.0000
Ge1 Ge 0.0000 0.1170 0.7500
Sb1 Sb 0.0000 0.3925 0.7500
C1 C 0.0000 0.2386 0.2500
# crystal system: orthorhombic
# ΔE_f (raw): -0.57 eV per atom

No. 2
# LaGa2SnOs | the Alexandria database | PBE | optimized geometry
data_LaGa2SnOs
_symmetry_space_group_name_H-M 'P 4/m m m'
_symmetry_Int_Tables_number 123
_symmetry_space_group_name_Hall '-P 4 2'
_cell_length_a 4.8995
_cell_length_b 4.8995
_cell_length_c 5.3835
_cell_angle_alpha 90.00
_cell_angle_beta 90.00
_cell_angle_gamma 90.00
loop_
_atom_site_label
_atom_site_type_symbol
_atom_site_fract_x
_atom_site_fract_y
_atom_site_fract_z
La1 La 0.0000 0.0000 0.0000
Ga1 Ga 0.0000 0.5000 0.5000
Sn1 Sn 0.5000 0.5000 0.0000
Os1 Os 0.0000 0.0000 0.5000
# crystal system: tetragonal
# energy of formation from the pure elements: -12.4 kJ/mol of atoms

No. 3
# LaY3Ho2Se6 | the Alexandria database | PBE | optimized geometry
data_LaY3Ho2Se6
_symmetry_space_group_name_H-M 'C 1 2/m 1'
_symmetry_Int_Tables_number 12
_symmetry_space_group_name_Hall '-C 2y'
_cell_length_a 7.1116
_cell_length_b 12.3756
_cell_length_c 7.1269
_cell_angle_alpha 90.00
_cell_angle_beta 109.56
_cell_angle_gamma 90.00
loop_
_atom_site_label
_atom_site_type_symbol
_atom_site_fract_x
_atom_site_fract_y
_atom_site_fract_z
La1 La 0.0000 0.0000 0.0000
Y1 Y 0.0000 0.1595 0.5000
Y2 Y 0.0000 0.5000 0.5000
Ho1 Ho 0.0000 0.3331 0.0000
Se1 Se 0.2368 0.5000 0.2492
Se2 Se 0.2417 0.3269 0.7443
# crystal system: monoclinic
# ΔE_f (raw): -1.79 eV per atom

No. 4
# GdThCoOs | the Alexandria database | PBE | optimized geometry
data_GdThCoOs
_symmetry_space_group_name_H-M 'F -4 3 m'
_symmetry_Int_Tables_number 216
_symmetry_space_group_name_Hall 'F -4 2 3'
_cell_length_a 6.9477
_cell_length_b 6.9477
_cell_length_c 6.9477
_cell_angle_alpha 90.00
_cell_angle_beta 90.00
_cell_angle_gamma 90.00
loop_
_atom_site_label
_atom_site_type_symbol
_atom_site_fract_x
_atom_site_fract_y
_atom_site_fract_z
Gd1 Gd 0.0000 0.0000 0.0000
Th1 Th 0.0000 0.0000 0.5000
Co1 Co 0.2500 0.2500 0.7500
Os1 Os 0.2500 0.2500 0.2500
# crystal system: cubic
# energy of formation from the pure elements: -15.7 kJ/mol of atoms

No. 5
# Tb2CeSmY | the Alexandria database | PBE | optimized geometry
data_Tb2CeSmY
_symmetry_space_group_name_H-M 'P m m a'
_symmetry_Int_Tables_number 51
_symmetry_space_group_name_Hall '-P 2a 2a'
_cell_length_a 5.9333
_cell_length_b 7.8915
_cell_length_c 7.0451
_cell_angle_alpha 90.00
_cell_angle_beta 90.00
_cell_angle_gamma 90.00
loop_
_atom_site_label
_atom_site_type_symbol
_atom_site_fract_x
_atom_site_fract_y
_atom_site_fract_z
Tb1 Tb 0.2500 0.2049 0.1856
Ce1 Ce 0.0000 0.5000 0.5000
Sm1 Sm 0.2500 0.0000 0.6627
Y1 Y 0.2500 0.5000 0.8968
# crystal system: orthorhombic
# energy of formation from the pure elements: 28.6 kJ/mol of atoms

No. 6
# Pr4SmGe4 | the Alexandria database | PBE | optimized geometry
data_Pr4SmGe4
_symmetry_space_group_name_H-M 'P 42/n'
_symmetry_Int_Tables_number 86
_cell_length_a 9.2238
_cell_length_b 9.2238
_cell_length_c 6.1479
_cell_angle_alpha 90.00
_cell_angle_beta 90.00
_cell_angle_gamma 90.00
loop_
_symmetry_equiv_pos_as_xyz
'x,y,z'
'-x,-y,-z'
'-y,x+1/2,z+1/2'
'y,-x+1/2,-z+1/2'
'-x+1/2,-y+1/2,z'
'x+1/2,y+1/2,-z'
'y+1/2,-x,z+1/2'
'-y+1/2,x,-z+1/2'
loop_
_atom_site_label
_atom_site_type_symbol
_atom_site_fract_x
_atom_site_fract_y
_atom_site_fract_z
Pr1 Pr 0.0496 0.6701 0.1212
Sm1 Sm 0.2500 0.2500 0.2500
Ge1 Ge 0.0177 0.6273 0.6107
# crystal system: tetragonal
# energy of formation from the pure elements: -55.7 kJ/mol of atoms

No. 7
# Tm8CoPt2 | the Alexandria database | PBE | optimized geometry
data_Tm8CoPt2
_symmetry_space_group_name_H-M 'C 1 m 1'
_symmetry_Int_Tables_number 8
_symmetry_space_group_name_Hall 'C -2y'
_cell_length_a 8.3415
_cell_length_b 12.3789
_cell_length_c 5.8916
_cell_angle_alpha 90.00
_cell_angle_beta 110.59
_cell_angle_gamma 90.00
loop_
_atom_site_label
_atom_site_type_symbol
_atom_site_fract_x
_atom_site_fract_y
_atom_site_fract_z
Tm1 Tm 0.0000 0.0000 0.0000
Tm2 Tm 0.0626 0.3715 0.7748
Tm3 Tm 0.1484 0.1282 0.5653
Tm4 Tm 0.2021 0.5000 0.3619
Tm5 Tm 0.3496 0.2050 0.1838
Co1 Co 0.3487 0.0000 0.3640
Pt1 Pt 0.3572 0.3145 0.6763
# crystal system: monoclinic
# energy of formation from the pure elements: -44.5 kJ/mol of atoms

No. 8
# ZnCo2Cl | the Alexandria database | PBE | optimized geometry
data_ZnCo2Cl
_symmetry_space_group_name_H-M 'R 3 m'
_symmetry_Int_Tables_number 160
_symmetry_space_group_name_Hall 'R 3 -2"'
_cell_length_a 2.9322
_cell_length_b 2.9322
_cell_length_c 23.5687
_cell_angle_alpha 90.00
_cell_angle_beta 90.00
_cell_angle_gamma 120.00
loop_
_atom_site_label
_atom_site_type_symbol
_atom_site_fract_x
_atom_site_fract_y
_atom_site_fract_z
Zn1 Zn 0.0000 0.0000 0.0000
Co1 Co 0.0000 0.0000 0.4882
Co2 Co 0.0000 0.0000 0.7470
Cl1 Cl 0.0000 0.0000 0.2268
# crystal system: trigonal
# ΔE_f (raw): 0.19 eV per atom

No. 9
# NpGaN | the Alexandria database | PBE | optimized geometry
data_NpGaN
_symmetry_space_group_name_H-M 'P -6 m 2'
_symmetry_Int_Tables_number 187
_symmetry_space_group_name_Hall 'P -6 2'
_cell_length_a 3.7175
_cell_length_b 3.7175
_cell_length_c 4.7551
_cell_angle_alpha 90.00
_cell_angle_beta 90.00
_cell_angle_gamma 120.00
loop_
_atom_site_label
_atom_site_type_symbol
_atom_site_fract_x
_atom_site_fract_y
_atom_site_fract_z
Np1 Np 0.0000 0.0000 0.0000
Ga1 Ga 0.3333 0.6667 0.5000
N1 N 0.6667 0.3333 0.0000
# crystal system: hexagonal
# ΔE_f (raw): -0.32 eV per atom

No. 10
# VRe2Ni | the Alexandria database | PBE | optimized geometry
data_VRe2Ni
_symmetry_space_group_name_H-M 'I -4 2 d'
_symmetry_Int_Tables_number 122
_symmetry_space_group_name_Hall 'I -4 2bw'
_cell_length_a 3.6627
_cell_length_b 3.6627
_cell_length_c 17.9435
_cell_angle_alpha 90.00
_cell_angle_beta 90.00
_cell_angle_gamma 90.00
loop_
_atom_site_label
_atom_site_type_symbol
_atom_site_fract_x
_atom_site_fract_y
_atom_site_fract_z
V1 V 0.0000 0.0000 0.0000
Re1 Re 0.2349 0.2500 0.6250
Ni1 Ni 0.0000 0.0000 0.5000
# crystal system: tetragonal
# energy of formation from the pure elements: 59.6 kJ/mol of atoms

No. 11
# NdHoCdBi | the Alexandria database | PBE | optimized geometry
data_NdHoCdBi
_symmetry_space_group_name_H-M 'F -4 3 m'
_symmetry_Int_Tables_number 216
_symmetry_space_group_name_Hall 'F -4 2 3'
_cell_length_a 7.7117
_cell_length_b 7.7117
_cell_length_c 7.7117
_cell_angle_alpha 90.00
_cell_angle_beta 90.00
_cell_angle_gamma 90.00
loop_
_atom_site_label
_atom_site_type_symbol
_atom_site_fract_x
_atom_site_fract_y
_atom_site_fract_z
Nd1 Nd 0.0000 0.0000 0.0000
Ho1 Ho 0.0000 0.0000 0.5000
Cd1 Cd 0.2500 0.2500 0.7500
Bi1 Bi 0.2500 0.2500 0.2500
# crystal system: cubic
# energy of formation from the pure elements: -42.0 kJ/mol of atoms

No. 12
# Dy2Zn3GaPt4 | the Alexandria database | PBE | optimized geometry
data_Dy2Zn3GaPt4
_symmetry_space_group_name_H-M 'P -4 m 2'
_symmetry_Int_Tables_number 115
_symmetry_space_group_name_Hall 'P -4 -2'
_cell_length_a 4.1594
_cell_length_b 4.1594
_cell_length_c 10.7327
_cell_angle_alpha 90.00
_cell_angle_beta 90.00
_cell_angle_gamma 90.00
loop_
_atom_site_label
_atom_site_type_symbol
_atom_site_fract_x
_atom_site_fract_y
_atom_site_fract_z
Dy1 Dy 0.0000 0.5000 0.2393
Zn1 Zn 0.0000 0.5000 0.8657
Zn2 Zn 0.5000 0.5000 0.5000
Ga1 Ga 0.0000 0.0000 0.5000
Pt1 Pt 0.0000 0.0000 0.0000
Pt2 Pt 0.0000 0.5000 0.6382
Pt3 Pt 0.5000 0.5000 0.0000
# crystal system: tetragonal
# energy of formation from the pure elements: -76.9 kJ/mol of atoms

| no. | total moment (μB/f.u.) |
| --- | --- |
| 1 | 2.9 |
| 2 | 0.0 |
| 3 | 0.0 |
| 4 | 6.5 |
| 5 | 1.7 |
| 6 | 0.0 |
| 7 | 0.0 |
| 8 | 3.7 |
| 9 | 3.0 |
| 10 | 0.9 |
| 11 | 0.0 |
| 12 | 0.0 |